No. 1
{
  "formula": "YAs2P",
  "functional": "GGA-PBE",
  "state": "optimized geometry",
  "space_group": "I-4m2 (119)",
  "total_energy_ev_per_atom": -5.708,
  "ef_ev_per_atom": -0.415,
  "mass_density_g_cm3": 5.6,
  "lattice_angstrom": [[-2.020, 2.020, 4.898], [2.020, -2.020, 4.898], [2.020, 2.020, -4.898]],
  "species": ["Y", "As", "As", "P"],
  "frac_coords": [[0.000, 0.000, 0.000], [0.250, 0.750, 0.500], [0.500, 0.500, 0.000], [0.750, 0.250, 0.500]]
}

***

No. 2
{
  "formula": "YAsP",
  "functional": "GGA-PBE",
  "state": "optimized geometry",
  "space_group": "I4mm (107)",
  "total_energy_ev_per_atom": -6.281,
  "ef_ev_per_atom": -0.773,
  "de_polymorph_ev_per_atom": 0.000,
  "mass_density_g_cm3": 4.7,
  "lattice_angstrom": [[-1.907, 1.907, 4.718], [1.907, -1.907, 4.718], [1.907, 1.907, -4.718]],
  "species": ["Y", "As", "P"],
  "frac_coords": [[0.000, 0.000, 0.000], [0.343, 0.343, 0.000], [0.592, 0.592, 0.000]]
}